First-principles (PBE) data for a geometry-optimized Pr3Sm6Ho structure, as listed in the Alexandria database.

Results
Formation enthalpy at 0 K (kJ/mol of atoms): 13.5
Energy relative to the lowest polymorph listed for this composition (eV per formula unit): 0.00

Lattice parameters (Å, degrees): 6.4908 11.1125 11.1125 120.51 90.00 90.00
Closest atoms and distances in Å follow each position.
Fractional coordinates of all 20 atoms:
Pr 0.0769 0.3858 0.6142  7 Sm 3.51-3.88, 2 Pr 3.65, 1 Ho 3.76
Pr 0.9639 0.0596 0.2911  1 Ho 3.30, 6 Sm 3.34-3.58, 1 Pr 3.65
Pr 0.4639 0.2911 0.0596  1 Ho 3.30, 6 Sm 3.34-3.58, 1 Pr 3.65
Pr 0.4639 0.9404 0.7089  1 Ho 3.30, 6 Sm 3.34-3.58, 1 Pr 3.65
Pr 0.5769 0.6142 0.3858  7 Sm 3.51-3.88, 2 Pr 3.65, 1 Ho 3.76
Pr 0.9639 0.7089 0.9404  1 Ho 3.30, 6 Sm 3.34-3.58, 1 Pr 3.65
Sm 0.1506 0.7259 0.2741  4 Sm 3.18-3.49, 1 Ho 3.43, 1 Pr 3.51
Sm 0.8623 0.0355 0.9645  1 Ho 3.43, 2 Sm 3.52, 4 Pr 3.56-3.58
Sm 0.8690 0.4747 0.0566  3 Sm 3.18-3.49, 2 Pr 3.34-3.50, 1 Ho 3.36
Sm 0.5559 0.6270 0.7138  3 Pr 3.44-3.58, 5 Sm 3.49-3.85
Sm 0.3690 0.5253 0.9434  3 Sm 3.18-3.49, 2 Pr 3.34-3.50, 1 Ho 3.36
Sm 0.3623 0.9645 0.0355  1 Ho 3.43, 2 Sm 3.52, 4 Pr 3.56-3.58
Sm 0.5559 0.2862 0.3730  3 Pr 3.44-3.58, 5 Sm 3.49-3.85
Sm 0.3690 0.0566 0.4747  3 Sm 3.18-3.49, 2 Pr 3.34-3.50, 1 Ho 3.36
Sm 0.0559 0.3730 0.2862  3 Pr 3.44-3.58, 5 Sm 3.49-3.85
Sm 0.0559 0.7138 0.6270  3 Pr 3.44-3.58, 5 Sm 3.49-3.85
Sm 0.8690 0.9434 0.5253  3 Sm 3.18-3.49, 2 Pr 3.34-3.50, 1 Ho 3.36
Sm 0.6506 0.2741 0.7259  4 Sm 3.18-3.49, 1 Ho 3.43, 1 Pr 3.51
Ho 0.6178 0.8086 0.1914  2 Pr 3.30, 6 Sm 3.36-3.61
Ho 0.1178 0.1914 0.8086  2 Pr 3.30, 6 Sm 3.36-3.61

First-principles (PBE) data for a geometry-optimized Pr8Sm4Ho3 structure, as listed in the Alexandria database.

Results
Formation enthalpy at 0 K (kJ/mol of atoms): 30.3

Lattice parameters (Å, degrees): 6.9384 9.3478 9.3478 82.63 111.23 111.23
Closest atoms and distances in Å follow each position.
Fractional coordinates of all 15 atoms:
Pr 0.1768 0.7021 0.7021  4 Pr 3.44-3.61, 3 Sm 3.50-3.67, 2 Ho 3.68
Pr 0.7152 0.7538 0.7538  1 Sm 3.05, 1 Ho 3.13
Pr 0.0000 0.2966 0.7034  4 Pr 3.52-3.54, 3 Sm 3.56-3.66, 2 Ho 3.60
Pr 0.2848 0.2462 0.2462  1 Sm 3.05, 1 Ho 3.13
Pr 0.5000 0.7526 0.2474  1 Sm 3.05, 1 Ho 3.12
Pr 0.0000 0.7034 0.2966  4 Pr 3.52-3.54, 3 Sm 3.56-3.66, 2 Ho 3.60
Pr 0.5000 0.2474 0.7526  1 Sm 3.05, 1 Ho 3.12
Pr 0.8232 0.2979 0.2979  4 Pr 3.44-3.61, 3 Sm 3.50-3.67, 2 Ho 3.68
Sm 0.0000 0.0000 0.0000  2 Pr 3.05
Sm 0.0000 0.0000 0.5000  2 Ho 3.47, 8 Pr 3.50-3.68
Sm 0.5000 0.0000 0.0000  2 Pr 3.05
Sm 0.0000 0.5000 0.0000  2 Ho 3.47, 8 Pr 3.50-3.68
Ho 0.5000 0.5000 0.0000  8 Pr 3.42-3.68, 2 Sm 3.47
Ho 0.5000 0.5000 0.5000  4 Pr 3.12-3.13
Ho 0.5000 0.0000 0.5000  8 Pr 3.42-3.68, 2 Sm 3.47

First-principles (PBE) data for a geometry-optimized Pr3Sm3Ho structure, as listed in the Alexandria database.

Results
Formation enthalpy at 0 K (kJ/mol of atoms): 22.1
Energy relative to the lowest polymorph listed for this composition (eV per formula unit): 0.79

Lattice parameters (Å, degrees): 8.9899 8.9899 8.9899 58.59 58.59 58.59
Closest atoms and distances in Å follow each position.
Fractional coordinates of all 14 atoms:
Sm 0.9320 0.2779 0.4319  3 Pr 3.28-3.49, 2 Sm 3.67
Sm 0.0680 0.7221 0.5681  3 Pr 3.28-3.49, 2 Sm 3.67
Sm 0.2779 0.4319 0.9320  3 Pr 3.28-3.49, 2 Sm 3.67
Sm 0.4319 0.9320 0.2779  3 Pr 3.28-3.49, 2 Sm 3.67
Sm 0.5681 0.0680 0.7221  3 Pr 3.28-3.49, 2 Sm 3.67
Sm 0.7221 0.5681 0.0680  3 Pr 3.28-3.49, 2 Sm 3.67
Pr 0.7033 0.1836 0.9374  3 Sm 3.28-3.49, 4 Pr 3.36-3.66, 1 Ho 3.54
Pr 0.1836 0.9374 0.7033  3 Sm 3.28-3.49, 4 Pr 3.36-3.66, 1 Ho 3.54
Pr 0.9374 0.7033 0.1836  3 Sm 3.28-3.49, 4 Pr 3.36-3.66, 1 Ho 3.54
Pr 0.0626 0.2967 0.8164  3 Sm 3.28-3.49, 4 Pr 3.36-3.66, 1 Ho 3.54
Pr 0.2967 0.8164 0.0626  3 Sm 3.28-3.49, 4 Pr 3.36-3.66, 1 Ho 3.54
Pr 0.8164 0.0626 0.2967  3 Sm 3.28-3.49, 4 Pr 3.36-3.66, 1 Ho 3.54
Ho 0.3460 0.3460 0.3460  6 Pr 3.54-3.79, 6 Sm 3.70-3.83
Ho 0.6540 0.6540 0.6540  6 Pr 3.54-3.79, 6 Sm 3.70-3.83

First-principles (PBE) data for a geometry-optimized PrSm4Ho structure, as listed in the Alexandria database.

Results
Formation enthalpy at 0 K (kJ/mol of atoms): 25.0
Energy relative to the lowest polymorph listed for this composition (eV per formula unit): 1.46

Lattice parameters (Å, degrees): 6.6726 6.6726 6.6726 60.00 60.00 60.00
Closest atoms and distances in Å follow each position.
Fractional coordinates of all 6 atoms:
Sm 0.1230 0.6257 0.6257  6 Sm 3.32-3.35
Sm 0.6257 0.1230 0.6257  6 Sm 3.32-3.35
Sm 0.6257 0.6257 0.6257  6 Sm 3.32-3.35
Sm 0.6257 0.6257 0.1230  6 Sm 3.32-3.35
Ho 0.0000 0.0000 0.0000  12 Sm 3.91, 4 Pr 4.09
Pr 0.2500 0.2500 0.2500  12 Sm 3.91, 4 Ho 4.09

First-principles (PBE) data for a geometry-optimized Pr2Sm7Ho structure, as listed in the Alexandria database.

Results
Formation enthalpy at 0 K (kJ/mol of atoms): 14.5
Energy relative to the lowest polymorph listed for this composition (eV per formula unit): 1.35

Lattice parameters (Å, degrees): 3.4991 15.0547 15.0547 154.30 90.00 90.00
Closest atoms and distances in Å follow each position.
Fractional coordinates of all 10 atoms:
Sm 0.5000 0.6581 0.8534  7 Sm 3.27-3.55, 1 Pr 3.58
Sm 0.5000 0.5000 0.5000  6 Sm 3.34-3.50
Sm 0.0000 0.8129 0.1871  6 Sm 3.50-3.55, 6 Pr 3.63-3.81
Sm 0.5000 0.1466 0.3419  7 Sm 3.27-3.55, 1 Pr 3.58
Sm 0.5000 0.3419 0.1466  7 Sm 3.27-3.55, 1 Pr 3.58
Sm 0.5000 0.8534 0.6581  7 Sm 3.27-3.55, 1 Pr 3.58
Sm 0.0000 0.1871 0.8129  6 Sm 3.50-3.55, 6 Pr 3.63-3.81
Pr 0.5000 0.2953 0.7047  2 Pr 3.50, 8 Sm 3.58-3.81
Pr 0.5000 0.7047 0.2953  2 Pr 3.50, 8 Sm 3.58-3.81
Ho 0.0000 0.0000 0.0000  2 Ho 3.50, 12 Sm 3.74-3.78

First-principles (PBE) data for a geometry-optimized Pr3Sm3Ho2 structure, as listed in the Alexandria database.

Results
Formation enthalpy at 0 K (kJ/mol of atoms): 7.3

Lattice parameters (Å, degrees): 5.8201 6.0693 8.8114 109.86 109.28 90.00
Closest atoms and distances in Å follow each position.
Fractional coordinates of all 8 atoms:
Sm 0.6340 0.0804 0.2680  1 Sm 3.42, 4 Ho 3.46-3.59, 5 Pr 3.58-3.75
Sm 0.5000 0.5000 0.0000  2 Sm 3.42, 4 Pr 3.61
Sm 0.3660 0.9196 0.7320  1 Sm 3.42, 4 Ho 3.46-3.59, 5 Pr 3.58-3.75
Pr 0.8648 0.3074 0.7296  1 Pr 3.40, 4 Ho 3.46-3.58, 5 Sm 3.58-3.75
Pr 0.0000 0.0000 0.0000  2 Pr 3.40, 4 Sm 3.59
Pr 0.1352 0.6926 0.2704  1 Pr 3.40, 4 Ho 3.46-3.58, 5 Sm 3.58-3.75
Ho 0.2503 0.3183 0.5006  4 Pr 3.46-3.58, 4 Sm 3.46-3.59, 2 Ho 3.65
Ho 0.7497 0.6817 0.4994  4 Pr 3.46-3.58, 4 Sm 3.46-3.59, 2 Ho 3.65

Calculated Fermi-level density of states in order - 26.15; 23.92; 20.49; 9.89; 15.69; 12.90 states/eV/cell
Calculated spin magnetization in order - 0.0000; 0.0001; 0.0000; 0.0002; 0.0000; 0.0000 μB per atom
Calculated total energy in order - -4.58; -4.41; -4.50; -4.45; -4.57; -4.63 eV per atom